VASP calculation (PBE) on a relaxed Co3IrPt crystal.

CIF file:
```
data_Co3IrPt
_chemical_formula_sum 'Co3 Ir1 Pt1'
_cell_length_a 4.476
_cell_length_b 4.476
_cell_length_c 4.476
_cell_angle_alpha 90.00
_cell_angle_beta 90.00
_cell_angle_gamma 90.00
_symmetry_space_group_name_H-M 'P m -3 m'
_symmetry_Int_Tables_number 221
_symmetry_space_group_name_Hall '-P 4 2 3'
loop_
_atom_site_label
_atom_site_fract_x
_atom_site_fract_y
_atom_site_fract_z
Co1 0.000 0.000 0.500
Ir1 0.000 0.000 0.000
Pt1 0.500 0.500 0.500
```

Summary:
Its crystal system is cubic. The value obtained for the formation energy is 1.4692 eV per atom.

=====

VASP calculation (PBE) on a relaxed SiOsO2F crystal.

CIF file:
```
data_SiOsO2F
_chemical_formula_sum 'Si1 Os1 O2 F1'
_cell_length_a 3.374
_cell_length_b 3.374
_cell_length_c 5.378
_cell_angle_alpha 90.00
_cell_angle_beta 90.00
_cell_angle_gamma 90.00
_symmetry_space_group_name_H-M 'P 4/m m m'
_symmetry_Int_Tables_number 123
_symmetry_space_group_name_Hall '-P 4 2'
loop_
_atom_site_label
_atom_site_fract_x
_atom_site_fract_y
_atom_site_fract_z
Si1 0.000 0.000 0.000
Os1 0.500 0.500 0.500
O1 0.000 0.500 0.000
F1 0.000 0.000 0.500
```

Summary:
Its crystal system is tetragonal. The formation energy (no corrections) comes out at -0.285 eV/atom.

=====

VASP calculation (PBE) on a relaxed Tb3PmSm3 crystal.

CIF file:
```
data_Tb3PmSm3
_chemical_formula_sum 'Tb9 Pm3 Sm9'
_cell_length_a 9.9889
_cell_length_b 9.9889
_cell_length_c 8.2312
_cell_angle_alpha 90.00
_cell_angle_beta 90.00
_cell_angle_gamma 120.00
_symmetry_space_group_name_H-M 'R 3 m'
_symmetry_Int_Tables_number 160
_symmetry_space_group_name_Hall 'R 3 -2"'
loop_
_atom_site_label
_atom_site_fract_x
_atom_site_fract_y
_atom_site_fract_z
Tb1 0.1994 0.3987 0.0000
Pm1 0.0000 0.0000 0.0549
Sm1 0.2136 0.4271 0.4288
```

Summary:
Its crystal system is trigonal. The value obtained for the formation energy is 0.2307 eV per atom.

=====

VASP calculation (PBE) on a relaxed Sr2Be3Si4Pt crystal.

CIF file:
```
data_Sr2Be3Si4Pt
_chemical_formula_sum 'Sr2 Be3 Si4 Pt1'
_cell_length_a 4.054
_cell_length_b 4.054
_cell_length_c 10.194
_cell_angle_alpha 90.00
_cell_angle_beta 90.00
_cell_angle_gamma 90.00
_symmetry_space_group_name_H-M 'P -4 m 2'
_symmetry_Int_Tables_number 115
loop_
_symmetry_equiv_pos_as_xyz
'x,y,z'
'y,-x,-z'
'-x,-y,z'
'-y,x,-z'
'-x,y,z'
'-y,-x,-z'
'x,-y,z'
'y,x,-z'
loop_
_atom_site_label
_atom_site_fract_x
_atom_site_fract_y
_atom_site_fract_z
Sr1 0.000 0.500 0.243
Be1 0.000 0.500 0.873
Be2 0.500 0.500 0.500
Si1 0.000 0.000 0.000
Si2 0.000 0.500 0.634
Si3 0.500 0.500 0.000
Pt1 0.000 0.000 0.500
```

Summary:
Its crystal system is tetragonal. The formation energy (no corrections) comes out at -0.345 eV/atom.

=====

VASP calculation (PBE) on a relaxed Mg6Ga5Ag crystal.

CIF file:
```
data_Mg6Ga5Ag
_chemical_formula_sum 'Mg6 Ga5 Ag1'
_cell_length_a 4.351
_cell_length_b 8.052
_cell_length_c 6.857
_cell_angle_alpha 90.00
_cell_angle_beta 107.78
_cell_angle_gamma 90.00
_symmetry_space_group_name_H-M 'P 1 2/m 1'
_symmetry_Int_Tables_number 10
loop_
_symmetry_equiv_pos_as_xyz
'x,y,z'
'-x,-y,-z'
'-x,y,-z'
'x,-y,z'
loop_
_atom_site_label
_atom_site_fract_x
_atom_site_fract_y
_atom_site_fract_z
Mg1 0.000 0.248 0.000
Mg2 0.333 0.257 0.665
Ga1 0.155 0.500 0.318
Ga2 0.170 0.000 0.340
Ga3 0.500 0.000 0.000
Ag1 0.500 0.500 0.000
```

Summary:
Its crystal system is monoclinic. The value obtained for the formation energy is -0.1503 eV per atom.

=====

VASP calculation (PBE) on a relaxed PrGaSb2 crystal.

CIF file:
```
data_PrGaSb2
_chemical_formula_sum 'Pr3 Ga3 Sb6'
_cell_length_a 5.0005
_cell_length_b 5.0005
_cell_length_c 23.9945
_cell_angle_alpha 90.00
_cell_angle_beta 90.00
_cell_angle_gamma 120.00
_symmetry_space_group_name_H-M 'R -3 m'
_symmetry_Int_Tables_number 166
_symmetry_space_group_name_Hall '-R 3 2"'
loop_
_atom_site_label
_atom_site_fract_x
_atom_site_fract_y
_atom_site_fract_z
Pr1 0.0000 0.0000 0.0000
Ga1 0.0000 0.0000 0.5000
Sb1 0.0000 0.0000 0.3957
```

Summary:
Its crystal system is trigonal. The formation energy (no corrections) comes out at -0.172 eV/atom.